#one
Material: CdHg2F2
Method: DFT, PBE
State: relaxed

Structure (POSCAR):
```
CdHg2F2
1.0
-1.8951 1.8951 7.3798
1.8951 -1.8951 7.3798
1.8951 1.8951 -7.3798
Cd Hg F
1 2 2
direct
0.0000 0.0000 0.0000 Cd
0.2500 0.7500 0.5000 Hg
0.7500 0.2500 0.5000 Hg
0.4129 0.4129 0.0000 F
0.5871 0.5871 0.0000 F
```

## Properties
* SG: No. 139
* magnetization: 0.00 μB/cell
* density: 8.6 g/cm3
* crystal system: tetragonal


#two
Material: CdHg2F2
Method: DFT, PBE
State: relaxed

Structure (POSCAR):
```
CdHg2F2
1.0
6.0984 0.0000 0.0000
0.0000 6.0984 0.0000
0.0000 0.0000 5.3374
Cd Hg F
2 4 4
direct
0.0000 0.0000 0.0000 Cd
0.5000 0.5000 0.0000 Cd
0.1758 0.3242 0.5000 Hg
0.3242 0.8242 0.5000 Hg
0.6758 0.1758 0.5000 Hg
0.8242 0.6758 0.5000 Hg
0.1900 0.6900 0.0000 F
0.3100 0.1900 0.0000 F
0.6900 0.8100 0.0000 F
0.8100 0.3100 0.0000 F
```

## Properties
* SG: No. 127
* magnetization: 0.00 μB/cell
* density: 9.2 g/cm3
* crystal system: tetragonal


Q: Which of them is the most stable? A: #two.


#one
Material: Cd2HgF6
Method: DFT, PBE
State: relaxed

Structure (POSCAR):
```
Cd2HgF6
1.0
5.9365 0.0000 0.0000
-2.9683 5.1412 0.0000
0.0000 0.0000 4.7633
Cd Hg F
2 1 6
direct
0.3333 0.6667 0.0000 Cd
0.6667 0.3333 0.0000 Cd
0.0000 0.0000 0.5000 Hg
0.0000 0.3387 0.2397 F
0.0000 0.6613 0.7603 F
0.3387 0.0000 0.2397 F
0.3387 0.3387 0.7603 F
0.6613 0.0000 0.7603 F
0.6613 0.6613 0.2397 F
```

## Properties
* SG: No. 162
* magnetization: 0.00 μB/cell
* density: 6.2 g/cm3
* crystal system: trigonal


#two
Material: Cd2HgF6
Method: DFT, PBE
State: relaxed

Structure (POSCAR):
```
Cd2HgF6
1.0
5.2368 0.0000 0.0000
0.0000 5.2368 0.0000
0.0000 0.0000 10.8822
Cd Hg F
4 2 12
direct
0.0000 0.0000 0.1670 Cd
0.0000 0.0000 0.8330 Cd
0.5000 0.5000 0.3330 Cd
0.5000 0.5000 0.6670 Cd
0.0000 0.0000 0.5000 Hg
0.5000 0.5000 0.0000 Hg
0.1877 0.1877 0.0000 F
0.1954 0.1954 0.3284 F
0.1954 0.1954 0.6716 F
0.3046 0.6954 0.1716 F
0.3046 0.6954 0.8284 F
0.3123 0.6877 0.5000 F
0.6877 0.3123 0.5000 F
0.6954 0.3046 0.1716 F
0.6954 0.3046 0.8284 F
0.8046 0.8046 0.3284 F
0.8046 0.8046 0.6716 F
0.8123 0.8123 0.0000 F
```

## Properties
* SG: No. 136
* magnetization: 0.00 μB/cell
* density: 6.0 g/cm3
* crystal system: tetragonal


Q: Which of them is the most stable? A: #two.


#one
Material: CdHgN2F
Method: DFT, PBE
State: relaxed

Structure (POSCAR):
```
CdHgN2F
1.0
4.3958 0.0000 0.0000
0.0000 4.3958 0.0000
0.0000 0.0000 4.4709
Cd Hg N F
1 1 2 1
direct
0.0000 0.0000 0.0000 Cd
0.5000 0.5000 0.5000 Hg
0.0000 0.5000 0.0000 N
0.5000 0.0000 0.0000 N
0.0000 0.0000 0.5000 F
```

## Properties
* SG: No. 123
* magnetization: 3.16 μB/cell
* density: 6.9 g/cm3
* crystal system: tetragonal


#two
Material: CdHgN2F
Method: DFT, PBE
State: relaxed

Structure (POSCAR):
```
CdHgN2F
1.0
4.2025 0.0000 0.0000
0.0000 4.2025 0.0000
0.0000 0.0000 4.7030
Cd Hg N F
1 1 2 1
direct
0.0000 0.0000 0.0000 Cd
0.5000 0.5000 0.5000 Hg
0.0000 0.5000 0.5000 N
0.5000 0.0000 0.5000 N
0.5000 0.5000 0.0000 F
```

## Properties
* SG: No. 123
* magnetization: 1.91 μB/cell
* density: 7.2 g/cm3
* crystal system: tetragonal


Q: Which of them is the most stable? A: #one.


#one
Material: CdIF3
Method: DFT, PBE
State: relaxed

Structure (POSCAR):
```
CdIF3
1.0
4.7455 0.0000 0.0000
0.0000 4.7455 0.0000
0.0000 0.0000 4.7455
Cd I F
1 1 3
direct
0.0000 0.0000 0.0000 Cd
0.5000 0.5000 0.5000 I
0.0000 0.5000 0.5000 F
0.5000 0.0000 0.5000 F
0.5000 0.5000 0.0000 F
```

## Properties
* SG: No. 221
* magnetization: 0.66 μB/cell
* density: 4.6 g/cm3
* crystal system: cubic


#two
Material: CdIF3
Method: DFT, PBE
State: relaxed

Structure (POSCAR):
```
CdIF3
1.0
4.5084 0.0000 0.0000
0.0000 4.5084 0.0000
0.0000 0.0000 4.5084
Cd I F
1 1 3
direct
0.0000 0.0000 0.0000 Cd
0.5000 0.5000 0.5000 I
0.0000 0.0000 0.5000 F
0.0000 0.5000 0.0000 F
0.5000 0.0000 0.0000 F
```

## Properties
* SG: No. 221
* magnetization: 2.00 μB/cell
* density: 5.4 g/cm3
* crystal system: cubic


Q: Which of them is the most stable? A: #two.